The following is a GGA+U calculation of crystalline KMnCu2O at its relaxed geometry, from Alexandria via LeMat-Bulk.

Cell and atoms, written as POSCAR:
```
KMnCu2O
1.0
5.004 0.000 0.000
0.000 5.004 0.000
0.000 0.000 4.410
K Mn Cu O
1 1 2 1
Cartesian
0.000 0.000 0.000
2.502 2.502 2.205
0.000 2.502 0.000
2.502 0.000 0.000
0.000 0.000 2.205
```

## Properties
Raw total energy = -3.0842 eV per atom
Calculated volume = 110.4 Å³ per cell
Space group = No. 123
Spin magnetization = 0.95 μB/atom